(1)
Compound: Ca2Ge2Au3
Source: the Alexandria database
Functional: PBE
Structure: optimized geometry

The structure in extended XYZ format:
```
7
Lattice="4.2938 0.0000 0.0000 -2.1469 5.3272 -0.2504 0.0000 -2.7527 6.6657" Properties=species:S:1:pos:R:3 pbc="T T T"
Ca 2.1469 3.2153 1.4037
Ca 0.0000 -0.6408 5.0116
Ge 2.1469 1.5594 5.0868
Ge 0.0000 1.0151 1.3285
Au 2.1469 0.0000 0.0000
Au 2.1469 0.0026 2.8662
Au 0.0000 2.5718 3.5491
```

Calculated values
The calculation puts the formation energy at -0.550 eV/atom. Its space group is No. 12. Its uncorrected energy is -0.2827 Ry/atom.

(2)
Compound: Ca2GeAu5
Source: the Alexandria database
Functional: PBE
Structure: optimized geometry

The structure in extended XYZ format:
```
8
Lattice="-2.1474 4.9412 3.6436 -3.9320 1.8576 -4.8365 -0.0602 -5.8975 2.1572" Properties=species:S:1:pos:R:3 pbc="T T T"
Ca -3.5012 -0.3083 -1.6452
Ca -2.6090 1.2334 2.5947
Ge -0.3187 -0.2568 0.1604
Au -2.6822 -1.7980 3.4214
Au -1.7337 -3.9803 1.8122
Au -4.4187 -0.9777 1.2854
Au -3.4703 -3.1599 -0.3238
Au -4.5628 2.1719 0.1704
```

Calculated values
The calculation puts the formation energy at -0.471 eV/atom. Its space group is No. 107. Its uncorrected energy is -0.2643 Ry/atom.

(3)
Compound: Ca3Ge2Au3
Source: the Alexandria database
Functional: PBE
Structure: optimized geometry

The structure in extended XYZ format:
```
32
Lattice="-1.0691 -2.6636 -5.2412 7.4716 1.1761 -2.1218 3.9673 -13.9100 6.2599" Properties=species:S:1:pos:R:3 pbc="T T T"
Ca 4.9668 -5.2709 0.7187
Ca 1.9045 -10.1233 0.4029
Ca 6.5342 -14.0932 -0.0368
Ca 7.3339 -1.3078 -3.2910
Ca 5.4029 -10.1267 -1.8218
Ca 8.4651 -5.2743 -1.5060
Ca 3.8355 -1.3044 -1.0663
Ca 3.0358 -14.0898 2.1879
Ca 2.8468 -4.7385 -2.4127
Ca 4.0600 -10.5671 3.7085
Ca 7.5229 -10.6591 1.3096
Ca 6.3097 -4.8304 -4.8116
Ge 1.5505 -7.5728 -2.3314
Ge 4.8468 -9.0023 1.1292
Ge 9.9304 -11.7211 2.9817
Ge 4.4117 -2.4990 -3.9858
Ge 8.8192 -7.8248 1.2283
Ge 5.5229 -6.3953 -2.2323
Ge 0.4393 -3.6765 -4.0848
Ge 5.9580 -12.8986 2.8827
Au 2.3215 -3.5920 0.4678
Au 4.5695 -11.7531 0.7503
Au 8.0482 -11.8055 -1.5709
Au 5.8002 -3.6445 -1.8534
Au 3.6137 -7.7098 -0.8245
Au 3.3668 -7.4124 2.4813
Au 8.4908 -13.7706 2.4588
Au 5.2681 -1.9024 -6.3218
Au 6.7560 -7.6878 -0.2786
Au 7.0029 -7.9852 -3.5844
Au 1.8789 -1.6270 -3.5619
Au 5.1016 -13.4952 5.2187
```

Calculated values
The calculation puts the formation energy at -0.671 eV/atom. Its space group is No. 62. Its uncorrected energy is -0.2797 Ry/atom.

(4)
Compound: Ca3Ge4Au2
Source: the Alexandria database
Functional: PBE
Structure: optimized geometry

The structure in extended XYZ format:
```
9
Lattice="4.3871 0.0000 0.0000 -2.1935 5.6466 0.0862 0.0000 -2.1430 8.3490" Properties=species:S:1:pos:R:3 pbc="T T T"
Ca 2.1935 0.4783 5.5967
Ca 0.0000 0.0000 0.0000
Ca 0.0000 3.0252 2.8385
Ge 2.1936 2.2179 0.3329
Ge 0.0000 1.2857 8.1023
Ge 2.1936 3.6867 5.0919
Ge 0.0000 -0.1831 3.3433
Au 2.1935 0.6337 2.3467
Au 0.0000 2.8698 6.0885
```

Calculated values
The calculation puts the formation energy at -0.614 eV/atom. Its space group is No. 12. Its uncorrected energy is -0.2985 Ry/atom.

(5)
Compound: Ca2GeAu3
Source: the Alexandria database
Functional: PBE
Structure: optimized geometry

The structure in extended XYZ format:
```
6
Lattice="-0.2310 1.1548 3.4388 -4.5708 -0.8283 -0.0288 1.3405 -7.4874 2.6044" Properties=species:S:1:pos:R:3 pbc="T T T"
Ca -0.9583 -7.8267 2.5639
Ca 0.6840 -3.8207 1.3290
Ge -1.9676 -2.2571 2.5469
Au 1.0117 -5.7186 3.9093
Au 0.1375 -0.8357 2.2109
Au -1.5338 -4.6800 3.3896
```

Calculated values
The calculation puts the formation energy at -0.689 eV/atom. Its space group is No. 25. Its uncorrected energy is -0.2767 Ry/atom.

(6)
Compound: CaGe2Au7
Source: the Alexandria database
Functional: PBE
Structure: optimized geometry

The structure in extended XYZ format:
```
10
Lattice="4.7224 0.0000 0.0000 0.0000 7.5467 -0.2757 0.0000 -3.5767 6.6510" Properties=species:S:1:pos:R:3 pbc="T T T"
Ca 0.0000 0.0000 0.0000
Ge 2.3612 4.2227 1.7942
Ge 2.3612 -0.2526 4.5811
Au 0.0000 5.0142 1.3013
Au 0.0000 -1.0442 5.0740
Au 2.3612 -0.5290 1.9700
Au 2.3612 4.4990 4.4053
Au 2.3612 2.0013 0.3943
Au 2.3612 1.9687 5.9810
Au 2.3612 1.9850 3.1876
```

Calculated values
The calculation puts the formation energy at -0.147 eV/atom. Its space group is No. 65. Its uncorrected energy is -0.2620 Ry/atom.